Record 1
The following is a DFT calculation (PBE) of a relaxed structure of NaLaMg2Au4.

a b c (Å): 4.757 4.757 9.399
angles (deg): 75.34 75.34 60.00
Sites, in units of the cell vectors:
Au 0.117 0.117 0.649
Au 0.883 0.883 0.351
La 0.000 0.000 0.000
Na 0.500 0.500 0.500
Mg 0.238 0.238 0.287
Au 0.606 0.606 0.181
Au 0.394 0.394 0.819
Mg 0.762 0.762 0.713

Results
Formation energy in meV per atom: -578
Symmetry: No. 166
V in Å³/atom: 22.02


Record 2
The following is a DFT calculation (PBE) of a relaxed structure of LaNdMgAu.

a b c (Å): 5.415 5.415 5.415
angles (deg): 60.00 60.00 60.00
Sites, in units of the cell vectors:
La 0.000 0.000 0.000
Au 0.250 0.250 0.250
Mg 0.750 0.750 0.750
Nd 0.500 0.500 0.500

Results
Formation energy in meV per atom: -364
Symmetry: No. 216
V in Å³/atom: 28.06


Record 3
The following is a DFT calculation (PBE) of a relaxed structure of LaMgNiAu.

a b c (Å): 4.948 4.948 4.948
angles (deg): 60.00 60.00 60.00
Sites, in units of the cell vectors:
Mg 0.000 0.000 0.000
La 0.500 0.500 0.500
Au 0.750 0.750 0.750
Ni 0.250 0.250 0.250

Results
Formation energy in meV per atom: -406
Symmetry: No. 216
V in Å³/atom: 21.41


Record 4
The following is a DFT calculation (PBE) of a relaxed structure of La2MgAuO.

a b c (Å): 5.087 5.087 4.326
angles (deg): 90.00 90.00 90.00
Sites, in units of the cell vectors:
La 0.500 0.000 0.000
O 0.000 0.000 0.000
La 0.000 0.500 0.000
Au 0.500 0.500 0.500
Mg 0.000 0.000 0.500

Results
Raw formation energy in eV/atom: -1.348
Symmetry: No. 123
V in Å³/atom: 22.39


Record 5
The following is a DFT calculation (PBE) of a relaxed structure of La2MgOsAu.

a b c (Å): 5.440 5.440 5.085
angles (deg): 90.00 90.00 90.00
Sites, in units of the cell vectors:
La 0.000 0.500 0.000
La 0.500 0.000 0.000
Mg 0.000 0.000 0.500
Os 0.000 0.000 0.000
Au 0.500 0.500 0.500

Results
Formation energy in meV per atom: -154
Symmetry: No. 123
V in Å³/atom: 30.09


Record 6
The following is a DFT calculation (PBE) of a relaxed structure of LaMgPbAu.

a b c (Å): 5.276 5.276 5.276
angles (deg): 60.00 60.00 60.00
Sites, in units of the cell vectors:
Au 0.000 0.000 0.000
La 0.750 0.750 0.750
Mg 0.250 0.250 0.250
Pb 0.500 0.500 0.500

Results
Formation energy in meV per atom: -550
Symmetry: No. 216
V in Å³/atom: 25.96